Record 1
SbC3: single point on PBEsol structure, SCAN.

CIF file:
```
data_SbC3
_cell_length_a 3.761
_cell_length_b 3.761
_cell_length_c 3.021
_cell_angle_alpha 90.00
_cell_angle_beta 90.00
_cell_angle_gamma 90.00
_symmetry_space_group_name_H-M 'P 4/m m m'
_symmetry_Int_Tables_number 123
_symmetry_space_group_name_Hall '-P 4 2'
loop_
_atom_site_label
_atom_site_type_symbol
_atom_site_fract_x
_atom_site_fract_y
_atom_site_fract_z
_atom_site_occupancy
Sb1 Sb 0.000 0.000 0.000 1
C1 C 0.000 0.500 0.500 1
C2 C 0.500 0.500 0.000 1
```

Computed properties:
E above lowest polymorph ... 46.46 kcal/mol of atoms
DOS at the Fermi energy ... 1.7 states/eV/cell
Total energy ... -13.291 eV per atom
M_tot ... 0.002 μB/f.u.
E_form (uncorrected) ... 3.5986 eV per atom

Record 2
Sb2C: single point on PBEsol structure, SCAN.

CIF file:
```
data_Sb2C
_cell_length_a 3.3204
_cell_length_b 3.3204
_cell_length_c 18.2951
_cell_angle_alpha 90.00
_cell_angle_beta 90.00
_cell_angle_gamma 120.00
_symmetry_space_group_name_H-M 'R 3 m'
_symmetry_Int_Tables_number 160
_symmetry_space_group_name_Hall 'R 3 -2"'
loop_
_atom_site_label
_atom_site_type_symbol
_atom_site_fract_x
_atom_site_fract_y
_atom_site_fract_z
_atom_site_occupancy
Sb1 Sb 0.0000 0.0000 0.0000 1
Sb2 Sb 0.0000 0.0000 0.1729 1
C1 C 0.0000 0.0000 0.7302 1
```

Computed properties:
E above lowest polymorph ... 1.19 kcal/mol of atoms
DOS at the Fermi energy ... 3.3 states/eV/cell
Total energy ... -26.982 eV per atom
M_tot ... 0.001 μB/f.u.
E_form (uncorrected) ... 1.2248 eV per atom